[1]
Material: LiCeAs
Method: DFT, GGA-PBE
State: relaxed

E above lowest polymorph = 0.48 eV/f.u.
Energy relative to the elements = -736 meV per atom

Unit cell a=6.7207 b=6.7207 c=6.7207 alpha=90.00 beta=90.00 gamma=90.00
Closest atoms and distances in Å follow each position.
Space group F-43m (No. 216)
Symmetry-distinct sites (fractional):
Li 0.0000 0.0000 0.0000  4 As 2.91
Ce 0.0000 0.0000 0.5000  4 As 2.91
As 0.2500 0.2500 0.2500  4 Ce 2.91, 4 Li 2.91

[2]
Material: Si2PbAu
Method: DFT, GGA-PBE
State: relaxed

Raw formation energy = 33.0 kJ/mol of atoms

Unit cell a=4.8792 b=5.0562 c=6.8062 alpha=90.00 beta=90.00 gamma=90.00
Closest atoms and distances in Å follow each position.
Space group Cmmm (No. 65)
Symmetry-distinct sites (fractional):
Si 0.0000 0.0000 0.1817  1 Si 2.47, 2 Au 2.74
Pb 0.0000 0.5000 0.5000  8 Si 3.26-3.33, 2 Au 3.40, 4 Pb 3.51
Au 0.0000 0.5000 0.0000  8 Si 2.74-2.81

[3]
Material: MgSc2Hg2
Method: DFT, GGA-PBE
State: relaxed

E above lowest polymorph = 0.91 eV/f.u.
Energy relative to the elements = -160 meV per atom

Unit cell a=8.1485 b=8.1485 c=3.5165 alpha=90.00 beta=90.00 gamma=90.00
Closest atoms and distances in Å follow each position.
Space group P4/mbm (No. 127)
Symmetry-distinct sites (fractional):
Mg 0.0000 0.0000 0.0000  4 Sc 3.12
Sc 0.1455 0.3545 0.0000  6 Hg 2.92-3.00, 2 Mg 3.12
Hg 0.1525 0.6525 0.5000  6 Sc 2.92-3.00

[4]
Material: Li6AsPd5
Method: DFT, GGA-PBE
State: relaxed

Energy relative to the elements = -487 meV per atom

Unit cell a=4.6565 b=5.4545 c=6.6328 alpha=90.00 beta=90.67 gamma=90.00
Closest atoms and distances in Å follow each position.
Space group P2/m (No. 10)
Symmetry-distinct sites (fractional):
Li 0.0000 0.2488 0.0000  6 Pd 2.69-2.71, 2 As 2.69, 4 Li 2.71-2.74
Li 0.3241 0.2481 0.6630  7 Pd 2.67-2.74, 4 Li 2.71-2.75, 1 As 2.73
As 0.5000 0.0000 0.0000  4 Pd 2.65-2.73, 8 Li 2.69-2.73
Pd 0.1680 0.5000 0.3335  8 Li 2.67-2.74, 4 Pd 2.71-2.73
Pd 0.1804 0.0000 0.3283  1 As 2.65, 8 Li 2.68-2.71, 3 Pd 2.73-2.85
Pd 0.5000 0.5000 0.0000  8 Li 2.70-2.74, 2 Pd 2.71, 2 As 2.73

[5]
Material: ErPuZnAg
Method: DFT, GGA-PBE
State: relaxed

Energy relative to the elements = -99 meV per atom

Unit cell a=7.2212 b=7.2212 c=7.2212 alpha=90.00 beta=90.00 gamma=90.00
Closest atoms and distances in Å follow each position.
Space group F-43m (No. 216)
Symmetry-distinct sites (fractional):
Er 0.0000 0.0000 0.0000  4 Zn 3.13, 4 Ag 3.13
Pu 0.0000 0.0000 0.5000  4 Zn 3.13, 4 Ag 3.13
Zn 0.2500 0.2500 0.2500  4 Er 3.13, 4 Pu 3.13
Ag 0.2500 0.2500 0.7500  4 Er 3.13, 4 Pu 3.13

[6]
Material: TiCu3As
Method: DFT, GGA-PBE
State: relaxed

E above lowest polymorph = 3.42 eV/f.u.
Energy relative to the elements = 1260 meV per atom

Unit cell a=4.6131 b=4.6131 c=4.6131 alpha=90.00 beta=90.00 gamma=90.00
Closest atoms and distances in Å follow each position.
Space group Pm-3m (No. 221)
Symmetry-distinct sites (fractional):
Ti 0.0000 0.0000 0.0000  6 Cu 2.31
Cu 0.0000 0.0000 0.5000  2 Ti 2.31
As 0.5000 0.5000 0.5000  12 Cu 3.26

[7]
Material: TaRuW2
Method: DFT, GGA-PBE
State: relaxed

E above lowest polymorph = 1.28 eV/f.u.
Energy relative to the elements = 243 meV per atom

Unit cell a=2.8116 b=2.8116 c=28.5654 alpha=90.00 beta=90.00 gamma=120.00
Closest atoms and distances in Å follow each position.
Space group R3m (No. 160, hexagonal axes)
Symmetry-distinct sites (fractional):
Ta 0.0000 0.0000 0.0000  6 Ta 2.81, 3 Ru 2.87, 3 W 3.01
Ru 0.0000 0.0000 0.7495  3 W 2.71, 6 Ru 2.81, 3 Ta 2.87
W 0.0000 0.0000 0.2445  9 W 2.81-2.94, 3 Ta 3.01
W 0.0000 0.0000 0.4921  3 Ru 2.71, 9 W 2.81-2.94

[8]
Material: TlTePd2
Method: DFT, GGA-PBE
State: relaxed

E above lowest polymorph = 0.69 eV/f.u.
Raw formation energy = -11.4 kJ/mol of atoms

Unit cell a=4.1273 b=4.1273 c=18.0306 alpha=90.00 beta=90.00 gamma=120.00
Closest atoms and distances in Å follow each position.
Space group R-3m (No. 166, hexagonal axes)
Symmetry-distinct sites (fractional):
Tl 0.0000 0.0000 0.0000  6 Pd 2.86
Te 0.0000 0.0000 0.5000  6 Pd 2.78
Pd 0.0000 0.0000 0.2459  3 Te 2.78, 3 Tl 2.86

[9]
Material: ErAl3Ag3
Method: DFT, GGA-PBE
State: relaxed

E above lowest polymorph = 0.00 eV/f.u.
Energy relative to the elements = -92 meV per atom

Unit cell a=8.0272 b=8.0272 c=15.7216 alpha=90.00 beta=90.00 gamma=120.00
Closest atoms and distances in Å follow each position.
Space group R-3 (No. 148, hexagonal axes)
Symmetry-distinct sites (fractional):
Er 0.0000 0.0000 0.1772  6 Ag 2.96-2.99, 3 Al 3.24
Al 0.0016 0.6613 0.7110  4 Ag 2.53-2.82
Ag 0.0053 0.7100 0.5520  4 Al 2.53-2.82

[10]
Material: Pm2DyHg
Method: DFT, GGA-PBE
State: relaxed

E above lowest polymorph = 1.27 eV/f.u.
Energy relative to the elements = 90 meV per atom

Unit cell a=3.5428 b=3.5428 c=36.7111 alpha=90.00 beta=90.00 gamma=120.00
Closest atoms and distances in Å follow each position.
Space group R-3m (No. 166, hexagonal axes)
Symmetry-distinct sites (fractional):
Pm 0.0000 0.0000 0.0886  1 Hg 3.25, 3 Dy 3.52, 6 Pm 3.54
Dy 0.0000 0.0000 0.5000  6 Pm 3.52, 6 Dy 3.54
Hg 0.0000 0.0000 0.0000  2 Pm 3.25, 6 Hg 3.54

[11]
Material: Ce2Sn2Se7
Method: DFT, GGA-PBE
State: relaxed

Raw formation energy = -92.2 kJ/mol of atoms

Unit cell a=4.1783 b=14.1468 c=9.5760 alpha=90.00 beta=90.00 gamma=90.00
Closest atoms and distances in Å follow each position.
Space group Imm2 (No. 44)
Symmetry-distinct sites (fractional):
Ce 0.0000 0.2326 0.0000  7 Se 2.92-3.15
Sn 0.0000 0.0000 0.7220  7 Se 2.89-3.08
Sn 0.0000 0.5000 0.7304  4 Se 2.70-2.75
Se 0.0000 0.0000 0.0433  3 Sn 2.75-3.08
Se 0.0000 0.1240 0.4822  1 Sn 2.89, 2 Ce 2.92
Se 0.0000 0.3099 0.7080  1 Sn 2.70, 3 Ce 2.95-3.00
Se 0.0000 0.3564 0.2917  2 Sn 2.99, 3 Ce 3.15-3.30, 2 Se 3.25

[12]
Material: CsSiHg2S4
Method: DFT, GGA-PBE
State: relaxed

Raw formation energy = -49.8 kJ/mol of atoms

Unit cell a=9.9536 b=10.0516 c=8.7944 alpha=90.00 beta=90.00 gamma=90.00
Closest atoms and distances in Å follow each position.
Space group Fmm2 (No. 42)
Symmetry-distinct sites (fractional):
Cs 0.0000 0.0000 0.0000  8 S 3.42-3.69
Si 0.0000 0.0000 0.4989  4 S 2.13-2.17
Hg 0.2500 0.2500 0.2296  4 S 2.73-2.86
S 0.0000 0.1781 0.3672  1 Si 2.13
S 0.1792 0.0000 0.6403  1 Si 2.17

[13]
Material: CsLiRuCl6
Method: DFT, GGA-PBE
State: relaxed

Raw formation energy = -109.5 kJ/mol of atoms

Unit cell a=6.4835 b=6.4835 c=7.8097 alpha=90.00 beta=90.00 gamma=120.00
Closest atoms and distances in Å follow each position.
Space group P312 (No. 149)
Symmetry-distinct sites (fractional):
Cs 0.0000 0.0000 0.0000  6 Cl 3.50
Li 0.3333 0.6667 0.5000  6 Cl 2.58
Ru 0.6667 0.3333 0.5000  6 Cl 2.35
Cl 0.3816 0.0262 0.6737  1 Ru 2.35, 1 Li 2.58

[14]
Material: SmGe2Br8
Method: DFT, GGA-PBE
State: relaxed

Raw formation energy = -89.5 kJ/mol of atoms

Unit cell a=12.4870 b=10.7637 c=7.4364 alpha=90.00 beta=105.85 gamma=90.00
Closest atoms and distances in Å follow each position.
Space group C2/m (No. 12)
Symmetry-distinct sites (fractional):
Sm 0.0000 0.0000 0.0000  6 Br 2.87-2.89
Ge 0.1890 0.0000 0.6529  3 Br 2.39-2.64
Br 0.0921 0.1786 0.7939  1 Ge 2.64, 1 Sm 2.89
Br 0.1215 0.5000 0.1610  1 Ge 2.39
Br 0.2076 0.0000 0.2870  1 Ge 2.79, 1 Sm 2.87

[15]
Material: MoRh2
Method: DFT, GGA-PBE
State: relaxed

Energy relative to the elements = -249 meV per atom

Unit cell a=4.7923 b=4.3793 c=8.3367 alpha=90.00 beta=90.00 gamma=90.00
Closest atoms and distances in Å follow each position.
Space group Pnma (No. 62)
Symmetry-distinct sites (fractional):
Mo 0.1703 0.2500 0.1567  10 Rh 2.69-2.80, 2 Mo 2.86
Rh 0.1594 0.2500 0.8295  5 Mo 2.70-2.75, 7 Rh 2.71-2.84
Rh 0.1663 0.2500 0.4931  5 Mo 2.69-2.80, 7 Rh 2.71-2.84

[16]
Material: La4AlZn
Method: DFT, GGA-PBE
State: relaxed

E above lowest polymorph = 0.99 eV/f.u.
Energy relative to the elements = -42 meV per atom

Unit cell a=7.4208 b=7.4208 c=7.3498 alpha=90.00 beta=90.07 gamma=90.00
Closest atoms and distances in Å follow each position.
Space group C2/m (No. 12)
Symmetry-distinct sites (fractional):
La 0.2499 0.2496 0.2455  2 Zn 3.18, 2 Al 3.22
Al 0.0000 0.0000 0.5000  8 La 3.22
Zn 0.0000 0.5000 0.0000  8 La 3.18

[17]
Material: SiHOs
Method: DFT, GGA-PBE
State: relaxed

Unit cell a=5.7268 b=9.6832 c=8.1221 alpha=90.00 beta=102.22 gamma=90.00
Closest atoms and distances in Å follow each position.
Space group P2_1/c (No. 14)
Symmetry-distinct sites (fractional):
Si 0.0055 0.1100 0.4016  4 Os 2.39-2.53, 2 Si 2.48-2.67, 2 H 2.61-2.65
Si 0.3170 0.5650 0.3909  4 Os 2.44-2.57, 2 H 2.55-2.66, 2 Si 2.59-2.72
Si 0.3384 0.6764 0.9732  2 H 2.18-2.42, 4 Os 2.36-2.43
H 0.0375 0.6517 0.7613  1 Os 1.63
H 0.3495 0.1985 0.2635  2 Os 1.73-1.89, 1 H 1.90
H 0.4663 0.6370 0.7120  2 Os 1.83-1.84, 1 H 1.90
Os 0.0329 0.2150 0.1368  1 H 1.63
Os 0.3248 0.1855 0.9204  2 H 1.73-1.83
Os 0.3456 0.0438 0.6116  1 H 1.84

[18]
Material: CrSn3S
Method: DFT, GGA-PBE
State: relaxed

E above lowest polymorph = 0.00 eV/f.u.
Raw formation energy = 27.5 kJ/mol of atoms

Unit cell a=5.0560 b=5.0560 c=5.0560 alpha=90.00 beta=90.00 gamma=90.00
Closest atoms and distances in Å follow each position.
Space group Pm-3m (No. 221)
Symmetry-distinct sites (fractional):
Cr 0.0000 0.0000 0.0000  6 Sn 2.53
Sn 0.0000 0.0000 0.5000  2 Cr 2.53
S 0.5000 0.5000 0.5000  12 Sn 3.58

[19]
Material: AsIrBr2
Method: DFT, GGA-PBE
State: relaxed

E above lowest polymorph = 2.72 eV/f.u.
Raw formation energy = 36.2 kJ/mol of atoms

Unit cell a=3.2737 b=4.4370 c=14.4291 alpha=90.00 beta=90.00 gamma=90.00
Closest atoms and distances in Å follow each position.
Space group Immm (No. 71)
Symmetry-distinct sites (fractional):
As 0.0000 0.0000 0.0000  4 Ir 2.76, 4 Br 3.01
Ir 0.0000 0.0000 0.5000  4 Br 2.61, 4 As 2.76
Br 0.0000 0.5000 0.1411  2 Ir 2.61

[20]
Material: Cs2RbNaHg
Method: DFT, GGA-PBE
State: relaxed

E above lowest polymorph = 0.15 eV/f.u.
Energy relative to the elements = -62 meV per atom

Unit cell a=7.4505 b=7.4505 c=6.3843 alpha=90.00 beta=90.00 gamma=90.00
Closest atoms and distances in Å follow each position.
Space group P4/mmm (No. 123)
Symmetry-distinct sites (fractional):
Cs 0.0000 0.5000 0.0000  2 Hg 3.73
Rb 0.0000 0.0000 0.5000  8 Cs 4.91, 4 Na 5.27
Na 0.5000 0.5000 0.5000  2 Hg 3.19
Hg 0.5000 0.5000 0.0000  2 Na 3.19

[21]
Material: AlCd2Co
Method: DFT, GGA-PBE
State: relaxed

Energy relative to the elements = 100 meV per atom

Unit cell a=2.9460 b=2.9460 c=28.1029 alpha=90.00 beta=90.00 gamma=120.00
Closest atoms and distances in Å follow each position.
Space group R3m (No. 160, hexagonal axes)
Symmetry-distinct sites (fractional):
Al 0.0000 0.0000 0.0000  3 Co 2.40
Cd 0.0000 0.0000 0.5288  3 Co 2.76, 6 Cd 2.95
Cd 0.0000 0.0000 0.7603  6 Cd 2.95, 3 Al 3.13
Co 0.0000 0.0000 0.2729  3 Al 2.40

[22]
Material: SmThMg
Method: DFT, GGA-PBE
State: relaxed

E above lowest polymorph = 0.00 eV/f.u.
Energy relative to the elements = -27 meV per atom

Unit cell a=3.5684 b=3.5684 c=14.0462 alpha=90.00 beta=90.00 gamma=90.00
Closest atoms and distances in Å follow each position.
Space group P4/nmm (No. 129, origin choice 2)
Symmetry-distinct sites (fractional):
Sm 0.2500 0.2500 0.2323  4 Mg 3.45, 4 Sm 3.57, 4 Th 3.57
Th 0.2500 0.2500 0.5874  8 Th 3.52-3.57, 4 Sm 3.57
Mg 0.2500 0.2500 0.9347  4 Mg 3.12, 4 Sm 3.45

[23]
Material: La3Ho5Tl2
Method: DFT, GGA-PBE
State: relaxed

Energy relative to the elements = 43 meV per atom

Unit cell a=13.1695 b=15.4579 c=6.5462 alpha=90.00 beta=90.00 gamma=90.00
Closest atoms and distances in Å follow each position.
Space group Ibam (No. 72)
Symmetry-distinct sites (fractional):
La 0.0000 0.0000 0.2500  2 La 3.27, 4 Tl 3.34, 2 Ho 3.38
La 0.1259 0.2383 0.0000  4 Ho 3.43-3.69, 4 Tl 3.56-3.78
Ho 0.0000 0.5000 0.2500  8 Ho 3.20-3.33
Ho 0.1078 0.3363 0.5000  1 Tl 2.98, 2 Ho 3.33
Ho 0.2431 0.5000 0.2500  2 Tl 3.18, 5 Ho 3.20-3.50, 1 La 3.38
Tl 0.1401 0.1458 0.5000  3 Ho 2.98-3.18

no.,DFT total energy (eV per atom)
1,-4.902
2,-4.116
3,-3.132
4,-3.995
5,-5.854
6,-3.707
7,-11.515
8,-4.091
9,-3.570
10,-3.511
11,-4.980
12,-3.440
13,-3.704
14,-3.413
15,-8.760
16,-4.163
17,-6.562
18,-4.867
19,-3.839
20,-0.921
21,-3.070
22,-4.605
23,-4.198